1.
Here is a relaxed TaBeTe2 crystal from the Alexandria database. Energies are from PBE.

The magnetization is 0.00 μB/f.u. The density of states at the Fermi level comes out at 0.5807 states/eV per atom. The calculation puts the total DFT energy (no corrections) at -44.06 eV/cell.

The space group is Imm2 (No. 44) and the conventional cell measures 3.5863, 3.5940 and 14.9883 Å, with angles of 90.00, 90.00 and 90.00 degrees. Symmetry generates all atoms from Ta at (0.0000, 0.0000, 0.0000), Be at (0.0000, 0.5000, 0.1162), Te at (0.0000, 0.0000, 0.4071) and Te at (0.0000, 0.5000, 0.6499).

2.
Here is a relaxed Li2RhAu crystal from the Alexandria database. Energies are from PBE.

The magnetization is 0.00 μB/f.u. The formation energy is -0.05 eV per atom. The density of states at the Fermi level comes out at 0.7261 states/eV per atom. The calculation puts the total DFT energy (no corrections) at -29.33 eV/cell.

The space group is Immm (No. 71) and the conventional cell measures 2.7455, 4.7955 and 9.6459 Å, with angles of 90.00, 90.00 and 90.00 degrees. Symmetry generates all atoms from Li at (0.0000, 0.0000, 0.2460), Rh at (0.0000, 0.0000, 0.0000) and Au at (0.0000, 0.0000, 0.5000).

3.
Here is a relaxed VPb2Cl6 crystal from the Alexandria database. Energies are from PBE.

The magnetization is 3.00 μB/f.u. The calculation puts the total DFT energy (no corrections) at -113.39 eV/cell. The calculation puts the polymorph energy (0 for the lowest one) at 0 meV/atom.

The space group is R-3 (No. 148, hexagonal axes) and the conventional cell measures 7.3316, 7.3316 and 17.3141 Å, with angles of 90.00, 90.00 and 120.00 degrees. Symmetry generates all atoms from V at (0.0000, 0.0000, 0.0000), Pb at (0.0000, 0.0000, 0.2046) and Cl at (0.0413, 0.2903, 0.0850).

4.
Here is a relaxed Tm2CdIn9 crystal from the Alexandria database. Energies are from PBE.

The magnetization is 0.00 μB/f.u. The formation energy is -0.20 eV per atom. The density of states at the Fermi level comes out at 0.4950 states/eV per atom. The calculation puts the total DFT energy (no corrections) at -36.93 eV/cell.

The space group is P4/mmm (No. 123) and the conventional cell measures 4.6551, 4.6551 and 13.9037 Å, with angles of 90.00, 90.00 and 90.00 degrees. Symmetry generates all atoms from Tm at (0.0000, 0.0000, 0.1633), Cd at (0.0000, 0.0000, 0.5000), In at (0.0000, 0.5000, 0.0000), In at (0.0000, 0.5000, 0.3340), In at (0.5000, 0.5000, 0.1650) and In at (0.5000, 0.5000, 0.5000).

5.
Here is a relaxed InGaCo2Ge crystal from the Alexandria database. Energies are from PBE.

The magnetization is 3.39 μB/f.u. The formation energy is 1.31 eV per atom. The density of states at the Fermi level comes out at 0.9297 states/eV per atom. The calculation puts the total DFT energy (no corrections) at -18.03 eV/cell. The calculation puts the polymorph energy (0 for the lowest one) at 533 meV/atom.

The space group is P4/mmm (No. 123) and the conventional cell measures 4.8269, 4.8269 and 5.1337 Å, with angles of 90.00, 90.00 and 90.00 degrees. Symmetry generates all atoms from In at (0.0000, 0.0000, 0.0000), Ga at (0.5000, 0.5000, 0.5000), Co at (0.0000, 0.5000, 0.0000) and Ge at (0.0000, 0.0000, 0.5000).

6.
Here is a relaxed NbTcPb2Se crystal from the Alexandria database. Energies are from PBE.

The magnetization is 4.56 μB/f.u. The density of states at the Fermi level comes out at 0.9308 states/eV per atom. The calculation puts the total DFT energy (no corrections) at -26.03 eV/cell.

The space group is P4/mmm (No. 123) and the conventional cell measures 5.5940, 5.5940 and 4.8472 Å, with angles of 90.00, 90.00 and 90.00 degrees. Symmetry generates all atoms from Nb at (0.0000, 0.0000, 0.0000), Tc at (0.5000, 0.5000, 0.5000), Pb at (0.0000, 0.5000, 0.0000) and Se at (0.0000, 0.0000, 0.5000).

7.
Here is a relaxed AcPr2Nd crystal from the Alexandria database. Energies are from PBE.

The magnetization is 0.00 μB/f.u. The formation energy is 0.19 eV per atom. The density of states at the Fermi level comes out at 1.7943 states/eV per atom. The calculation puts the total DFT energy (no corrections) at -53.08 eV/cell. The calculation puts the polymorph energy (0 for the lowest one) at 168 meV/atom.

The space group is R-3m (No. 166, hexagonal axes) and the conventional cell measures 3.6913, 3.6913 and 39.1010 Å, with angles of 90.00, 90.00 and 120.00 degrees. Symmetry generates all atoms from Ac at (0.0000, 0.0000, 0.0000), Pr at (0.0000, 0.0000, 0.4123) and Nd at (0.0000, 0.0000, 0.5000).

8.
Here is a relaxed Cs3NaHg2Br9 crystal from the Alexandria database. Energies are from PBE.

The magnetization is 0.00 μB/f.u. The density of states at the Fermi level comes out at 0.7752 states/eV per atom. The calculation puts the total DFT energy (no corrections) at -35.55 eV/cell.

The space group is P-3m1 (No. 164) and the conventional cell measures 7.9829, 7.9829 and 9.9450 Å, with angles of 90.00, 90.00 and 120.00 degrees. Symmetry generates all atoms from Cs at (0.0000, 0.0000, 0.0000), Cs at (0.3333, 0.6667, 0.6621), Na at (0.0000, 0.0000, 0.5000), Hg at (0.3333, 0.6667, 0.1703), Br at (0.0000, 0.5000, 0.0000) and Br at (0.1675, 0.3350, 0.3218).

9.
Here is a relaxed Dy2Ho8Cd crystal from the Alexandria database. Energies are from PBE.

The magnetization is 0.00 μB/f.u. The formation energy is -0.02 eV per atom. The density of states at the Fermi level comes out at 1.4651 states/eV per atom. The calculation puts the total DFT energy (no corrections) at -93.82 eV/cell. The calculation puts the polymorph energy (0 for the lowest one) at 0 meV/atom.

The space group is C2/m (No. 12) and the conventional cell measures 19.1947, 5.5180 and 6.3592 Å, with angles of 90.00, 94.99 and 90.00 degrees. Symmetry generates all atoms from Dy at (0.2427, 0.0000, 0.3331), Ho at (0.0446, 0.0000, 0.2638), Ho at (0.0787, 0.5000, 0.5982), Ho at (0.1540, 0.0000, 0.8040), Ho at (0.1603, 0.5000, 0.1228) and Cd at (0.0000, 0.5000, 0.0000).

10.
Here is a relaxed FeSbPtI2 crystal from the Alexandria database. Energies are from PBE.

The magnetization is 3.60 μB/f.u. The density of states at the Fermi level comes out at 0.9458 states/eV per atom. The calculation puts the total DFT energy (no corrections) at -17.70 eV/cell. The calculation puts the polymorph energy (0 for the lowest one) at 0 meV/atom.

The space group is P4/mmm (No. 123) and the conventional cell measures 5.5755, 5.5755 and 5.1747 Å, with angles of 90.00, 90.00 and 90.00 degrees. Symmetry generates all atoms from Fe at (0.0000, 0.0000, 0.0000), Sb at (0.5000, 0.5000, 0.0000), Pt at (0.5000, 0.5000, 0.5000) and I at (0.0000, 0.5000, 0.5000).

11.
Here is a relaxed NdTcGe crystal from the Alexandria database. Energies are from PBE.

The magnetization is 0.00 μB/f.u. The formation energy is -0.45 eV per atom. The density of states at the Fermi level comes out at 0.9559 states/eV per atom. The calculation puts the total DFT energy (no corrections) at -42.22 eV/cell.

The space group is P4/nmm (No. 129, origin choice 2) and the conventional cell measures 4.3690, 4.3690 and 6.8776 Å, with angles of 90.00, 90.00 and 90.00 degrees. Symmetry generates all atoms from Nd at (0.2500, 0.2500, 0.1873), Tc at (0.2500, 0.7500, 0.5000) and Ge at (0.2500, 0.2500, 0.6954).

12.
Here is a relaxed MgOs3 crystal from the Alexandria database. Energies are from PBE.

The magnetization is 0.00 μB/f.u. The formation energy is 0.46 eV per atom. The density of states at the Fermi level comes out at 0.9227 states/eV per atom. The calculation puts the total DFT energy (no corrections) at -133.71 eV/cell.

The space group is Cmcm (No. 63) and the conventional cell measures 7.2829, 7.7059 and 4.5481 Å, with angles of 90.00, 90.00 and 90.00 degrees. Symmetry generates all atoms from Mg at (0.0000, 0.0727, 0.2500), Os at (0.0000, 0.4204, 0.2500) and Os at (0.1728, 0.2616, 0.7500).

Question: Which of these has the lowest total DFT energy (no corrections)?
Answer: MgOs3

Question: Look up the total DFT energy (no corrections) of the eighth one.
Answer: -35.55 eV/cell

Question: Which value of total DFT energy (no corrections) does entry 10 give?
Answer: -17.70 eV/cell

Question: What is the total DFT energy (no corrections) in the twelfth record?
Answer: -133.71 eV/cell